Material: SmYHo2Sc2
Method: DFT, PBE
State: relaxed

Spin magnetization, μB per cell: 0.00
VASP energy, eV/atom: -5.22
Space group: Pnnm, No. 58
ΔE_f, eV/f.u.: 1.7

Geometry as POSCAR:
```
SmYHo2Sc2
1.0
-0.658 0.172 -3.267
-5.030 -3.709 0.817
-9.871 13.989 2.724
Sm Y Ho Sc
2 2 4 4
Direct
0.500 0.500 0.000 Sm
0.000 0.000 0.500 Sm
0.000 0.000 0.000 Y
0.500 0.500 0.500 Y
0.500 0.276 0.309 Ho
0.000 0.776 0.191 Ho
0.500 0.724 0.691 Ho
0.000 0.224 0.809 Ho
0.500 0.777 0.353 Sc
0.500 0.223 0.647 Sc
0.000 0.723 0.853 Sc
0.000 0.277 0.147 Sc
```